SrLiTe2N: relaxed, PBE.

a b c (Å): 5.662 5.662 3.956
angles (deg): 90.00 90.00 90.00
Space group P4/mmm (No. 123)
Inequivalent atoms, fractional coordinates:
Sr  0.000  0.000  0.000 x1
Li  0.500  0.500  0.500 x1
Te  0.000  0.500  0.500 x2
N  0.500  0.500  0.000 x1

## Properties
Energy above the lowest structure with this stoichiometry, eV per atom: 0.000
Formation energy from raw total energies, kJ/mol of formula units: 32
Volume, Å³/atom: 25.37

=====

SrLiTeN2: relaxed, PBE.

a b c (Å): 4.912 4.912 6.636
angles (deg): 90.00 90.00 90.00
Space group P4/mmm (No. 123)
Inequivalent atoms, fractional coordinates:
Sr  0.000  0.000  0.000 x1
Li  0.500  0.500  0.500 x1
Te  0.000  0.000  0.500 x1
N  0.000  0.500  0.000 x2

## Properties
Energy above the lowest structure with this stoichiometry, eV per atom: 0.194
Formation energy from raw total energies, kJ/mol of formula units: 492
Volume, Å³/atom: 32.02

=====

Sr2LiTiN: relaxed, PBE.

a b c (Å): 5.634 5.634 3.994
angles (deg): 90.00 90.00 90.00
Space group P4/mmm (No. 123)
Inequivalent atoms, fractional coordinates:
Sr  0.000  0.500  0.000 x2
Li  0.000  0.000  0.500 x1
Ti  0.500  0.500  0.500 x1
N  0.500  0.500  0.000 x1

## Properties
Formation energy from raw total energies, kJ/mol of formula units: -140
Volume, Å³/atom: 25.35

=====

Sr2LiTlN: relaxed, PBE.

a b c (Å): 5.406 5.406 4.264
angles (deg): 90.00 90.00 90.00
Space group P4/mmm (No. 123)
Inequivalent atoms, fractional coordinates:
Sr  0.000  0.500  0.000 x2
Li  0.000  0.000  0.500 x1
Tl  0.500  0.500  0.500 x1
N  0.000  0.000  0.000 x1

## Properties
Formation energy from raw total energies, kJ/mol of formula units: -155
Volume, Å³/atom: 24.92

=====

SrLiU4N8: relaxed, PBE.

a b c (Å): 6.9932 6.9932 15.7285
angles (deg): 90.00 90.00 120.00
Space group R3m (No. 160, hexagonal axes)
Inequivalent atoms, fractional coordinates:
Sr  0.0000  0.0000  0.0000 x3
Li  0.0000  0.0000  0.6207 x3
U  0.0000  0.0000  0.2263 x3
U  0.1695  0.3389  0.4457 x9
N  0.0000  0.0000  0.3707 x3
N  0.0000  0.0000  0.8441 x3
N  0.0580  0.5290  0.3802 x9
N  0.1757  0.3515  0.1805 x9

## Properties
Formation energy from raw total energies, kJ/mol of formula units: -1535
Volume, Å³/atom: 15.86

=====

Sr4LiU3N8: relaxed, PBE.

a b c (Å): 7.0972 7.0972 17.6954
angles (deg): 90.00 90.00 120.00
Space group R-3m (No. 166, hexagonal axes)
Inequivalent atoms, fractional coordinates:
Sr  0.0000  0.0000  0.0000 x3
Sr  0.0000  0.5000  0.0000 x9
Li  0.0000  0.0000  0.5000 x3
U  0.0000  0.5000  0.5000 x9
N  0.0000  0.0000  0.2336 x6
N  0.0339  0.5169  0.7686 x18

## Properties
Formation energy from raw total energies, kJ/mol of formula units: -1653
Volume, Å³/atom: 16.08

=====

- Look up the volume of the third one.
  25.35 Å³/atom

=====

- What is the volume in the fifth record?
  15.86 Å³/atom